--- one ---
Here is an optimized crystal structure of KTmPb from the Alexandria database. Energies are from GGA-PBE.

abc: 5.2440 5.2440 10.7213
angles: 75.84 75.84 60.00
Atoms (fractional coordinates):
Tm  0.2976  0.2976  0.1072
Tm  0.7024  0.7024  0.8928
K  0.1250  0.1250  0.6251
K  0.8750  0.8750  0.3749
Pb  0.3982  0.3982  0.8054
Pb  0.6018  0.6018  0.1946

Results
Its symmetry is No. 166.

=====

--- two ---
Here is an optimized crystal structure of KTmPb from the Alexandria database. Energies are from GGA-PBE.

abc: 4.2104 4.2104 14.2428
angles: 98.50 98.50 90.00
Atoms (fractional coordinates):
K  0.5811  0.5811  0.1621
K  0.4189  0.4189  0.8379
Tm  0.2865  0.2865  0.5729
Tm  0.7135  0.7135  0.4271
Pb  0.1718  0.1718  0.3436
Pb  0.8282  0.8282  0.6564

Results
Its symmetry is No. 139.

=====

Relative energies, unit meV per atom: one 88; two 0